Entry 1:
HfZnCrPb2 | PBE | relaxed

ΔE_f	4.3	eV/f.u.
Fermi-level density of states	4.52	states/eV/f.u.
crystal system	tetragonal
SG	No. 123
E_tot	-0.176	hartree per atom
magnetic moment	2.57	μB/f.u.

a b c (Å): 5.1267 4.7421 5.1267
angles (deg): 90.00 90.00 90.00
With the nearest neighbours (Å) after each atom.
Fractional coordinates of all 5 atoms:
Pb (0.5000, 0.0000, 0.0000)  2 Cr 2.56
Cr (0.0000, 0.0000, 0.0000)  2 Zn 2.37, 4 Pb 2.56
Hf (0.5000, 0.5000, 0.5000)  8 Pb 3.49, 4 Zn 3.63
Pb (0.0000, 0.0000, 0.5000)  2 Cr 2.56
Zn (0.0000, 0.5000, 0.0000)  2 Cr 2.37


Entry 2:
HgOsBr6 | PBE | relaxed

crystal system	monoclinic
SG	No. 15
formation energy without anion corrections	-0.23	eV/atom
E_tot	-0.108	hartree per atom
magnetic moment	2.03	μB/f.u.

a b c (Å): 7.2158 7.2158 12.2990
angles (deg): 93.21 93.21 109.20
With the nearest neighbours (Å) after each atom.
Fractional coordinates of all 16 atoms:
Br (0.7973, 0.9908, 0.1007)  1 Os 2.44
Br (0.1361, 0.3986, 0.6716)  1 Os 2.52, 1 Hg 2.73
Br (0.6576, 0.3165, 0.5511)  1 Os 2.52, 1 Hg 2.76
Hg (0.2202, 0.7798, 0.2500)  4 Br 2.73-2.76
Br (0.3424, 0.6835, 0.4489)  1 Os 2.52, 1 Hg 2.76
Br (0.6014, 0.8639, 0.8284)  1 Os 2.52, 1 Hg 2.73
Os (0.0000, 0.5000, 0.5000)  6 Br 2.44-2.52
Br (0.6835, 0.3424, 0.9489)  1 Os 2.52, 1 Hg 2.76
Br (0.9908, 0.7973, 0.6007)  1 Os 2.44
Hg (0.7798, 0.2202, 0.7500)  4 Br 2.73-2.76
Br (0.3986, 0.1361, 0.1716)  1 Os 2.52, 1 Hg 2.73
Br (0.8639, 0.6014, 0.3284)  1 Os 2.52, 1 Hg 2.73
Os (0.5000, 0.0000, 0.0000)  6 Br 2.44-2.52
Br (0.0092, 0.2027, 0.3993)  1 Os 2.44
Br (0.2027, 0.0092, 0.8993)  1 Os 2.44
Br (0.3165, 0.6576, 0.0511)  1 Os 2.52, 1 Hg 2.76


Entry 3:
HfCdAsO6 | PBE | relaxed

Fermi-level density of states	4.64	states/eV/f.u.
crystal system	trigonal
SG	No. 163
formation energy without anion corrections	-1.73	eV/atom
E_tot	-0.249	hartree per atom
magnetic moment	1.02	μB/f.u.

a b c (Å): 5.2980 5.2980 9.4032
angles (deg): 90.00 90.00 120.00
With the nearest neighbours (Å) after each atom.
Fractional coordinates of all 18 atoms:
As (0.3333, 0.6667, 0.2500)  6 O 1.86
O (0.6169, 0.6488, 0.1403)  1 As 1.86
O (0.6488, 0.0320, 0.8597)  1 As 1.86
O (0.3831, 0.3512, 0.8597)  1 As 1.86
Hf (0.6667, 0.3333, 0.2500)  6 O 2.09
O (0.6488, 0.6169, 0.6403)  1 As 1.86
O (0.6169, 0.9680, 0.3597)  1 As 1.86
O (0.3512, 0.3831, 0.3597)  1 As 1.86
Cd (0.0000, 0.0000, 0.5000)  6 O 2.35
O (0.3512, 0.9680, 0.1403)  1 As 1.86
O (0.0320, 0.3831, 0.1403)  1 As 1.86
Cd (0.0000, 0.0000, 0.0000)  6 O 2.35
As (0.6667, 0.3333, 0.7500)  6 O 1.86
O (0.9680, 0.3512, 0.6403)  1 As 1.86
O (0.0320, 0.6488, 0.3597)  1 As 1.86
O (0.9680, 0.6169, 0.8597)  1 As 1.86
O (0.3831, 0.0320, 0.6403)  1 As 1.86
Hf (0.3333, 0.6667, 0.7500)  6 O 2.09


Entry 4:
BaSiNi4 | PBE | relaxed

Fermi-level density of states	4.68	states/eV/f.u.
crystal system	cubic
SG	No. 216
formation energy without anion corrections	0.24	eV/atom
E_tot	-0.178	hartree per atom
magnetic moment	0.00	μB/f.u.

a b c (Å): 5.0809 5.0809 5.0809
angles (deg): 60.00 60.00 60.00
With the nearest neighbours (Å) after each atom.
Fractional coordinates of all 6 atoms:
Ni (0.8666, 0.3778, 0.3778)  6 Ni 2.48-2.60
Si (0.7500, 0.7500, 0.7500)  12 Ni 2.97, 4 Ba 3.11
Ni (0.3778, 0.8666, 0.3778)  6 Ni 2.48-2.60
Ni (0.3778, 0.3778, 0.8666)  6 Ni 2.48-2.60
Ni (0.3778, 0.3778, 0.3778)  6 Ni 2.48-2.60
Ba (0.0000, 0.0000, 0.0000)  12 Ni 2.99, 4 Si 3.11